Record 1
TmGa2Bi | PBE | relaxed

a b c (Å): 4.858 4.858 5.601
angles (deg): 64.30 64.30 60.00
Sites, in units of the cell vectors:
Tm 0.500 0.500 0.500
Bi 0.000 0.000 0.000
Ga 0.241 0.241 0.278
Ga 0.759 0.759 0.722

**Formation energy from the elements**: -143 meV/atom
**M_tot**: 0.000 Bohr magnetons per cell
**VASP energy**: -3.7442 eV/atom


Record 2
Tm5Ga2Bi | PBE | relaxed

a b c (Å): 8.067 8.067 8.558
angles (deg): 118.12 118.12 90.00
Sites, in units of the cell vectors:
Tm 0.510 0.708 0.718
Tm 0.792 0.990 0.282
Tm 0.000 0.000 0.000
Tm 0.500 0.500 0.000
Tm 0.208 0.010 0.718
Tm 0.708 0.208 0.718
Tm 0.010 0.510 0.718
Tm 0.292 0.792 0.282
Tm 0.990 0.490 0.282
Tm 0.490 0.292 0.282
Ga 0.150 0.350 0.000
Ga 0.650 0.150 0.000
Ga 0.350 0.850 0.000
Ga 0.850 0.650 0.000
Bi 0.750 0.750 0.500
Bi 0.250 0.250 0.500

**Formation energy from the elements**: -564 meV/atom
**M_tot**: 0.000 Bohr magnetons per cell
**VASP energy**: -4.6004 eV/atom